# CoTcOs3 PBE optimized geometry
data_CoTcOs3
_cell_length_a 4.335
_cell_length_b 4.335
_cell_length_c 4.335
_cell_angle_alpha 90.00
_cell_angle_beta 90.00
_cell_angle_gamma 90.00
_symmetry_space_group_name_H-M 'P 1'
_symmetry_Int_Tables_number 1
loop_
_symmetry_equiv_pos_as_xyz
'x,y,z'
loop_
_atom_site_label
_atom_site_type_symbol
_atom_site_fract_x
_atom_site_fract_y
_atom_site_fract_z
Co1 Co 0.000 0.000 0.000
Os1 Os 0.000 0.500 0.000
Os2 Os 0.000 0.000 0.500
Os3 Os 0.500 0.000 0.000
Tc1 Tc 0.500 0.500 0.500
# Raw total energy: -41.78 eV for the cell shown
# ρ: 14.84 g cm⁻³
# DFT formation energy: 1.877 eV per atom
# Energy relative to the lowest polymorph listed for this composition: 0 meV/atom
# DOS(E_F): 7.12 states/eV per cell